VASP calculation (PBE) on a geometry-optimized BeTlP2 structure.

Cell and atoms, written as POSCAR:
```
BeTlP2
1.0
5.190 0.000 0.000
0.000 7.410 0.000
-2.193 0.000 3.716
Be Tl P
2 2 4
Direct
0.000 0.000 0.000
0.500 0.500 0.000
0.000 0.500 0.000
0.500 0.000 0.000
0.250 0.250 0.500
0.250 0.750 0.500
0.750 0.250 0.500
0.750 0.750 0.500
```

For the energy of formation from the pure elements, the calculation gives 0.6451 eV/atom. Its energy above the most stable polymorph in this dataset is 583 meV/atom.

VASP calculation (PBE) on a geometry-optimized Sc3TiGe structure.

Cell and atoms, written as POSCAR:
```
Sc3TiGe
1.0
5.076 0.000 0.000
0.000 5.076 0.000
0.000 0.000 5.076
Sc Ti Ge
3 1 1
Direct
0.000 0.000 0.500
0.000 0.500 0.000
0.500 0.000 0.000
0.500 0.500 0.500
0.000 0.000 0.000
```

For the energy of formation from the pure elements, the calculation gives 0.2608 eV/atom. Its energy above the most stable polymorph in this dataset is 0 meV/atom.

Calculated volume values, unit A^3/atom, following the record order: 17.86 26.15.